Tb6PrAl6, optimized geometry, DFT PBE; ρ = 6.43 g/cm3; space group = No. 71; formation enthalpy at 0 K = -0.319 eV per atom
1.0
-2.9657 5.1439 5.3169
2.9657 -5.1439 5.3169
2.9657 5.1439 -5.3169
Tb Pr Al
6 1 6
Cartesian
2.9657 1.5840 0.0000 Tb
0.0000 0.0000 1.7678 Tb
0.0000 3.2848 0.0000 Tb
0.0000 7.0031 0.0000 Tb
0.0000 0.0000 8.8661 Tb
0.0000 3.5599 5.3169 Tb
0.0000 0.0000 5.3169 Pr
1.4828 2.5720 -2.6585 Al
1.4828 -2.5720 2.6585 Al
2.9657 0.0000 2.7921 Al
-1.4828 2.5720 2.6585 Al
1.4828 2.5720 2.6585 Al
0.0000 5.1439 2.5248 Al